Computed, not measured: BaIn2P at its PBEsol-relaxed geometry at the SCAN level of DFT.

The structure in CIF format:
```
data_BaIn2P
_cell_length_a 4.5444
_cell_length_b 4.5444
_cell_length_c 5.1919
_cell_angle_alpha 90.00
_cell_angle_beta 90.00
_cell_angle_gamma 90.00
_symmetry_space_group_name_H-M 'P 4/m m m'
_symmetry_Int_Tables_number 123
_symmetry_space_group_name_Hall '-P 4 2'
loop_
_atom_site_label
_atom_site_type_symbol
_atom_site_fract_x
_atom_site_fract_y
_atom_site_fract_z
Ba1 Ba 0.0000 0.0000 0.0000
In1 In 0.0000 0.5000 0.5000
P1 P 0.5000 0.5000 0.0000
```

Crystal system: tetragonal
Density of states at the Fermi level (states/eV/atom): 0.4878
Energy of formation from the pure elements (meV per atom): -310



Computed, not measured: TlFeNO2 at its PBEsol-relaxed geometry at the SCAN level of DFT.

The structure in CIF format:
```
data_TlFeNO2
_cell_length_a 4.1490
_cell_length_b 4.1490
_cell_length_c 4.1595
_cell_angle_alpha 90.00
_cell_angle_beta 90.00
_cell_angle_gamma 90.00
_symmetry_space_group_name_H-M 'P 4/m m m'
_symmetry_Int_Tables_number 123
_symmetry_space_group_name_Hall '-P 4 2'
loop_
_atom_site_label
_atom_site_type_symbol
_atom_site_fract_x
_atom_site_fract_y
_atom_site_fract_z
Tl1 Tl 0.0000 0.0000 0.0000
Fe1 Fe 0.5000 0.5000 0.5000
N1 N 0.0000 0.0000 0.5000
O1 O 0.0000 0.5000 0.0000
```

Formation energy (no corrections) (eV/atom): 1.043
Crystal system: tetragonal
Density of states at the Fermi level (states/eV/atom): 0.5052



Computed, not measured: AgSn2Pb2 at its PBEsol-relaxed geometry at the SCAN level of DFT.

The structure in CIF format:
```
data_AgSn2Pb2
_cell_length_a 7.2101
_cell_length_b 7.2101
_cell_length_c 5.1602
_cell_angle_alpha 90.00
_cell_angle_beta 90.00
_cell_angle_gamma 90.00
_symmetry_space_group_name_H-M 'P 4/m b m'
_symmetry_Int_Tables_number 127
_symmetry_space_group_name_Hall '-P 4 2ab'
loop_
_atom_site_label
_atom_site_type_symbol
_atom_site_fract_x
_atom_site_fract_y
_atom_site_fract_z
Ag1 Ag 0.0000 0.0000 0.0000
Sn1 Sn 0.1435 0.3565 0.0000
Pb1 Pb 0.1749 0.6749 0.5000
```

Crystal system: tetragonal
Density of states at the Fermi level (states/eV/atom): 0.3893
Energy of formation from the pure elements (meV per atom): 136



Computed, not measured: Re2CN at its PBEsol-relaxed geometry at the SCAN level of DFT.

The structure in CIF format:
```
data_Re2CN
_cell_length_a 4.0975
_cell_length_b 4.0975
_cell_length_c 11.0914
_cell_angle_alpha 90.00
_cell_angle_beta 90.00
_cell_angle_gamma 90.00
_symmetry_space_group_name_H-M 'I -4 2 d'
_symmetry_Int_Tables_number 122
_symmetry_space_group_name_Hall 'I -4 2bw'
loop_
_atom_site_label
_atom_site_type_symbol
_atom_site_fract_x
_atom_site_fract_y
_atom_site_fract_z
Re1 Re 0.2418 0.2500 0.1250
C1 C 0.0000 0.0000 0.5000
N1 N 0.0000 0.0000 0.0000
```

Formation energy (no corrections) (eV/atom): 0.612
Crystal system: tetragonal
Density of states at the Fermi level (states/eV/atom): 0.8598